This record from OQMD describes a relaxed Y2HoSe3 crystal. The functional is PBE-GGA.

Results
Magnetization in μB per formula unit: 0.003
Calculated total energy in eV/atom: -6.41
Space group: P-3m1 (164)

CIF file:
```
data_Y2HoSe3
_cell_length_a 4.067
_cell_length_b 4.067
_cell_length_c 9.973
_cell_angle_alpha 90.00
_cell_angle_beta 90.00
_cell_angle_gamma 120.00
_symmetry_space_group_name_H-M 'P 1'
_symmetry_Int_Tables_number 1
loop_
_symmetry_equiv_pos_as_xyz
'x,y,z'
loop_
_atom_site_label
_atom_site_type_symbol
_atom_site_fract_x
_atom_site_fract_y
_atom_site_fract_z
Ho1 Ho 0.000 0.000 0.000
Se1 Se 0.333 0.667 0.164
Se2 Se 0.000 0.000 0.500
Se3 Se 0.667 0.333 0.836
Y1 Y 0.667 0.333 0.332
Y2 Y 0.333 0.667 0.668
```


This record from OQMD describes a relaxed Ho3Si5 crystal. The functional is PBE-GGA.

Results
Magnetization in μB per formula unit: 0.001
Calculated total energy in eV/atom: -5.78
Space group: P-62m (189)

CIF file:
```
data_Ho3Si5
_cell_length_a 4.166
_cell_length_b 6.542
_cell_length_c 6.542
_cell_angle_alpha 120.03
_cell_angle_beta 90.00
_cell_angle_gamma 90.00
_symmetry_space_group_name_H-M 'P 1'
_symmetry_Int_Tables_number 1
loop_
_symmetry_equiv_pos_as_xyz
'x,y,z'
loop_
_atom_site_label
_atom_site_type_symbol
_atom_site_fract_x
_atom_site_fract_y
_atom_site_fract_z
Ho1 Ho 0.000 0.019 0.019
Ho2 Ho 0.000 0.664 0.308
Ho3 Ho 0.000 0.308 0.664
Si1 Si 0.500 0.997 0.330
Si2 Si 0.500 0.400 0.400
Si3 Si 0.500 0.927 0.663
Si4 Si 0.500 0.663 0.927
Si5 Si 0.500 0.330 0.997
```


This record from OQMD describes a relaxed Ho10Si17 crystal. The functional is PBE-GGA.

Results
Magnetization in μB per formula unit: 0.004
Calculated total energy in eV/atom: -5.78
Space group: Imm2 (44)

CIF file:
```
data_Ho10Si17
_cell_length_a 6.659
_cell_length_b 8.251
_cell_length_c 10.930
_cell_angle_alpha 112.18
_cell_angle_beta 107.74
_cell_angle_gamma 90.00
_symmetry_space_group_name_H-M 'P 1'
_symmetry_Int_Tables_number 1
loop_
_symmetry_equiv_pos_as_xyz
'x,y,z'
loop_
_atom_site_label
_atom_site_type_symbol
_atom_site_fract_x
_atom_site_fract_y
_atom_site_fract_z
Ho1 Ho 0.239 0.244 0.000
Ho2 Ho 0.239 0.756 0.000
Ho3 Ho 0.832 0.353 0.201
Ho4 Ho 0.832 0.848 0.201
Ho5 Ho 0.436 0.452 0.399
Ho6 Ho 0.436 0.948 0.399
Ho7 Ho 0.036 0.052 0.601
Ho8 Ho 0.036 0.548 0.601
Ho9 Ho 0.631 0.152 0.799
Ho10 Ho 0.631 0.647 0.799
Si1 Si 0.569 0.000 0.000
Si2 Si 0.920 0.000 0.000
Si3 Si 0.613 0.500 0.000
Si4 Si 0.123 0.581 0.163
Si5 Si 0.498 0.600 0.201
Si6 Si 0.494 0.105 0.209
Si7 Si 0.154 0.122 0.244
Si8 Si 0.824 0.199 0.398
Si9 Si 0.102 0.700 0.399
Si10 Si 0.758 0.716 0.432
Si11 Si 0.326 0.284 0.568
Si12 Si 0.703 0.300 0.601
Si13 Si 0.426 0.801 0.602
Si14 Si 0.910 0.878 0.756
Si15 Si 0.285 0.895 0.791
Si16 Si 0.298 0.400 0.799
Si17 Si 0.960 0.419 0.837
```


This record from OQMD describes a relaxed Ho5Si4 crystal. The functional is PBE-GGA.

Results
Magnetization in μB per formula unit: 0.012
Calculated total energy in eV/atom: -5.70
Space group: Pnma (62)

CIF file:
```
data_Ho5Si4
_cell_length_a 7.389
_cell_length_b 14.497
_cell_length_c 7.663
_cell_angle_alpha 90.00
_cell_angle_beta 90.00
_cell_angle_gamma 90.00
_symmetry_space_group_name_H-M 'P 1'
_symmetry_Int_Tables_number 1
loop_
_symmetry_equiv_pos_as_xyz
'x,y,z'
loop_
_atom_site_label
_atom_site_type_symbol
_atom_site_fract_x
_atom_site_fract_y
_atom_site_fract_z
Ho1 Ho 0.651 0.750 0.012
Ho2 Ho 0.680 0.123 0.180
Ho3 Ho 0.680 0.377 0.180
Ho4 Ho 0.974 0.598 0.183
Ho5 Ho 0.974 0.902 0.183
Ho6 Ho 0.474 0.598 0.317
Ho7 Ho 0.474 0.902 0.317
Ho8 Ho 0.180 0.123 0.320
Ho9 Ho 0.180 0.377 0.320
Ho10 Ho 0.151 0.750 0.488
Ho11 Ho 0.849 0.250 0.512
Ho12 Ho 0.820 0.623 0.680
Ho13 Ho 0.820 0.877 0.680
Ho14 Ho 0.526 0.098 0.683
Ho15 Ho 0.526 0.402 0.683
Ho16 Ho 0.026 0.098 0.817
Ho17 Ho 0.026 0.402 0.817
Ho18 Ho 0.320 0.623 0.820
Ho19 Ho 0.320 0.877 0.820
Ho20 Ho 0.349 0.250 0.988
Si1 Si 0.352 0.040 0.029
Si2 Si 0.352 0.460 0.029
Si3 Si 0.977 0.250 0.103
Si4 Si 0.269 0.750 0.128
Si5 Si 0.769 0.750 0.372
Si6 Si 0.477 0.250 0.397
Si7 Si 0.852 0.040 0.471
Si8 Si 0.852 0.460 0.471
Si9 Si 0.148 0.540 0.529
Si10 Si 0.148 0.960 0.529
Si11 Si 0.523 0.750 0.603
Si12 Si 0.231 0.250 0.628
Si13 Si 0.731 0.250 0.872
Si14 Si 0.023 0.750 0.897
Si15 Si 0.648 0.540 0.971
Si16 Si 0.648 0.960 0.971
```


This record from OQMD describes a relaxed Ho4Si3 crystal. The functional is PBE-GGA.

Results
Magnetization in μB per formula unit: 0.005
Calculated total energy in eV/atom: -5.66
Space group: I-43d (220)

CIF file:
```
data_Ho4Si3
_cell_length_a 7.553
_cell_length_b 7.553
_cell_length_c 7.553
_cell_angle_alpha 109.47
_cell_angle_beta 109.47
_cell_angle_gamma 109.47
_symmetry_space_group_name_H-M 'P 1'
_symmetry_Int_Tables_number 1
loop_
_symmetry_equiv_pos_as_xyz
'x,y,z'
loop_
_atom_site_label
_atom_site_type_symbol
_atom_site_fract_x
_atom_site_fract_y
_atom_site_fract_z
Ho1 Ho 0.634 0.500 0.000
Ho2 Ho 0.134 0.500 0.000
Ho3 Ho 0.500 0.000 0.134
Ho4 Ho 0.366 0.366 0.366
Ho5 Ho 0.000 0.634 0.500
Ho6 Ho 0.000 0.134 0.500
Ho7 Ho 0.500 0.000 0.634
Ho8 Ho 0.866 0.866 0.866
Si1 Si 0.875 0.250 0.125
Si2 Si 0.125 0.875 0.250
Si3 Si 0.625 0.750 0.375
Si4 Si 0.750 0.375 0.625
Si5 Si 0.375 0.625 0.750
Si6 Si 0.250 0.125 0.875
```


This record from OQMD describes a relaxed SmHoTa2Si2 crystal. The functional is PBE-GGA.

Results
Magnetization in μB per formula unit: 1.042
Calculated total energy in eV/atom: -7.89
Space group: P4mm (99)

CIF file:
```
data_SmHoTa2Si2
_cell_length_a 4.009
_cell_length_b 4.009
_cell_length_c 7.861
_cell_angle_alpha 90.00
_cell_angle_beta 90.00
_cell_angle_gamma 90.00
_symmetry_space_group_name_H-M 'P 1'
_symmetry_Int_Tables_number 1
loop_
_symmetry_equiv_pos_as_xyz
'x,y,z'
loop_
_atom_site_label
_atom_site_type_symbol
_atom_site_fract_x
_atom_site_fract_y
_atom_site_fract_z
Ho1 Ho 0.000 0.000 0.651
Si1 Si 0.000 0.000 0.233
Si2 Si 0.500 0.500 0.762
Sm1 Sm 0.500 0.500 0.357
Ta1 Ta 0.500 0.000 0.998
Ta2 Ta 0.000 0.500 0.998
```


This record from OQMD describes a relaxed Ho3Si4Sn4 crystal. The functional is PBE-GGA.

Results
Magnetization in μB per formula unit: 0.008
Calculated total energy in eV/atom: -4.79
Space group: Immm (71)

CIF file:
```
data_Ho3Si4Sn4
_cell_length_a 9.352
_cell_length_b 9.352
_cell_length_c 9.352
_cell_angle_alpha 152.36
_cell_angle_beta 136.73
_cell_angle_gamma 52.12
_symmetry_space_group_name_H-M 'P 1'
_symmetry_Int_Tables_number 1
loop_
_symmetry_equiv_pos_as_xyz
'x,y,z'
loop_
_atom_site_label
_atom_site_type_symbol
_atom_site_fract_x
_atom_site_fract_y
_atom_site_fract_z
Ho1 Ho 0.000 0.000 0.000
Ho2 Ho 0.629 0.129 0.500
Ho3 Ho 0.371 0.871 0.500
Si1 Si 0.670 0.349 0.321
Si2 Si 0.972 0.651 0.321
Si3 Si 0.028 0.349 0.679
Si4 Si 0.330 0.651 0.679
Sn1 Sn 0.221 0.221 0.000
Sn2 Sn 0.779 0.779 0.000
Sn3 Sn 0.700 0.500 0.200
Sn4 Sn 0.300 0.500 0.800
```


This record from OQMD describes a relaxed Ho2SiSn crystal. The functional is PBE-GGA.

Results
Magnetization in μB per formula unit: 0.012
Calculated total energy in eV/atom: -5.34
Space group: Amm2 (38)

CIF file:
```
data_Ho2SiSn
_cell_length_a 4.102
_cell_length_b 5.888
_cell_length_c 5.888
_cell_angle_alpha 42.23
_cell_angle_beta 90.00
_cell_angle_gamma 90.00
_symmetry_space_group_name_H-M 'P 1'
_symmetry_Int_Tables_number 1
loop_
_symmetry_equiv_pos_as_xyz
'x,y,z'
loop_
_atom_site_label
_atom_site_type_symbol
_atom_site_fract_x
_atom_site_fract_y
_atom_site_fract_z
Ho1 Ho 0.000 0.356 0.356
Ho2 Ho 0.500 0.637 0.637
Si1 Si 0.000 0.090 0.090
Sn1 Sn 0.500 0.918 0.918
```


This record from OQMD describes a relaxed TbHoSi2Sn2 crystal. The functional is PBE-GGA.

Results
Magnetization in μB per formula unit: 0.009
Calculated total energy in eV/atom: -5.24
Space group: Amm2 (38)

CIF file:
```
data_TbHoSi2Sn2
_cell_length_a 3.951
_cell_length_b 8.485
_cell_length_c 8.485
_cell_angle_alpha 29.19
_cell_angle_beta 90.00
_cell_angle_gamma 90.00
_symmetry_space_group_name_H-M 'P 1'
_symmetry_Int_Tables_number 1
loop_
_symmetry_equiv_pos_as_xyz
'x,y,z'
loop_
_atom_site_label
_atom_site_type_symbol
_atom_site_fract_x
_atom_site_fract_y
_atom_site_fract_z
Ho1 Ho 0.500 0.593 0.593
Si1 Si 0.000 0.047 0.047
Si2 Si 0.500 0.955 0.955
Sn1 Sn 0.500 0.241 0.241
Sn2 Sn 0.000 0.757 0.757
Tb1 Tb 0.000 0.406 0.406
```


This record from OQMD describes a relaxed HoTmSi2Sn2 crystal. The functional is PBE-GGA.

Results
Magnetization in μB per formula unit: 0.009
Calculated total energy in eV/atom: -5.18
Space group: Amm2 (38)

CIF file:
```
data_HoTmSi2Sn2
_cell_length_a 3.940
_cell_length_b 8.379
_cell_length_c 8.379
_cell_angle_alpha 29.47
_cell_angle_beta 90.00
_cell_angle_gamma 90.00
_symmetry_space_group_name_H-M 'P 1'
_symmetry_Int_Tables_number 1
loop_
_symmetry_equiv_pos_as_xyz
'x,y,z'
loop_
_atom_site_label
_atom_site_type_symbol
_atom_site_fract_x
_atom_site_fract_y
_atom_site_fract_z
Ho1 Ho 0.000 0.593 0.593
Si1 Si 0.500 0.046 0.046
Si2 Si 0.000 0.952 0.952
Sn1 Sn 0.000 0.243 0.243
Sn2 Sn 0.500 0.759 0.759
Tm1 Tm 0.500 0.407 0.407
```


This record from OQMD describes a relaxed TbHoSi2 crystal. The functional is PBE-GGA.

Results
Magnetization in μB per formula unit: 0.007
Calculated total energy in eV/atom: -5.84
Space group: Pmn2_1 (31)

CIF file:
```
data_TbHoSi2
_cell_length_a 3.833
_cell_length_b 7.909
_cell_length_c 5.696
_cell_angle_alpha 90.00
_cell_angle_beta 90.00
_cell_angle_gamma 90.00
_symmetry_space_group_name_H-M 'P 1'
_symmetry_Int_Tables_number 1
loop_
_symmetry_equiv_pos_as_xyz
'x,y,z'
loop_
_atom_site_label
_atom_site_type_symbol
_atom_site_fract_x
_atom_site_fract_y
_atom_site_fract_z
Ho1 Ho 0.500 0.430 0.385
Ho2 Ho 0.000 0.570 0.885
Si1 Si 0.000 0.214 0.129
Si2 Si 0.000 0.710 0.371
Si3 Si 0.500 0.786 0.629
Si4 Si 0.500 0.290 0.871
Tb1 Tb 0.500 0.929 0.114
Tb2 Tb 0.000 0.071 0.614
```


What is the calculated total energy in the eighth record?
-5.34 eV/atom


What is the formula in the ninth record?
TbHoSi2Sn2